BaMgTaIr | PBE | relaxed

Cell lengths 6.9827, 6.9827, 6.9827 Å; angles 90.00, 90.00, 90.00 degrees
Space group F-43m (No. 216)
Unique sites:
Ba (0.0000, 0.0000, 0.0000) x4
Mg (0.0000, 0.0000, 0.5000) x4
Ta (0.2500, 0.2500, 0.7500) x4
Ir (0.2500, 0.2500, 0.2500) x4

excess energy over the best structure of this formula in the dataset	0.419	eV/atom